# La2PuSc (PBE-GGA, optimized geometry)
# Formation enthalpy at 0 K: 0.152 eV/atom
# VASP energy: -7.478 eV per atom
# Excess energy over the best structure of this formula in the dataset: 25 meV/atom
data_La2PuSc
_cell_length_a 5.0826
_cell_length_b 5.0826
_cell_length_c 4.7088
_cell_angle_alpha 90.00
_cell_angle_beta 90.00
_cell_angle_gamma 90.00
_space_group_name_H-M_alt 'P 1'
_space_group_IT_number 1
loop_
_space_group_symop_operation_xyz
'x,y,z'
loop_
_atom_site_label
_atom_site_fract_x
_atom_site_fract_y
_atom_site_fract_z
_atom_site_occupancy
La1 0.0000 0.5000 0.0000 1
La2 0.5000 0.0000 0.0000 1
Pu1 0.0000 0.0000 0.5000 1
Sc1 0.5000 0.5000 0.5000 1



# ErTm2Sc3 (PBE-GGA, optimized geometry)
# Formation enthalpy at 0 K: 0.047 eV/atom
# VASP energy: -5.370 eV per atom
# Excess energy over the best structure of this formula in the dataset: 0 meV/atom
data_ErTm2Sc3
_cell_length_a 5.9114
_cell_length_b 3.4109
_cell_length_c 16.3996
_cell_angle_alpha 90.00
_cell_angle_beta 96.91
_cell_angle_gamma 90.00
_space_group_name_H-M_alt 'P 1'
_space_group_IT_number 1
loop_
_space_group_symop_operation_xyz
'x,y,z'
loop_
_atom_site_label
_atom_site_fract_x
_atom_site_fract_y
_atom_site_fract_z
_atom_site_occupancy
Er1 0.0279 0.2500 0.3335 1
Er2 0.9721 0.7500 0.6665 1
Tm1 0.2500 0.2500 0.0000 1
Tm2 0.4725 0.2500 0.6664 1
Tm3 0.5275 0.7500 0.3336 1
Tm4 0.7500 0.7500 0.0000 1
Sc1 0.1394 0.7500 0.1675 1
Sc2 0.2504 0.7500 0.5001 1
Sc3 0.3610 0.7500 0.8323 1
Sc4 0.6390 0.2500 0.1677 1
Sc5 0.7496 0.2500 0.4999 1
Sc6 0.8606 0.2500 0.8325 1



# CsZrCuSe3 (PBE-GGA, optimized geometry)
# VASP energy: -5.128 eV per atom
# Formation energy without anion corrections: -1.14 eV per atom
data_CsZrCuSe3
_cell_length_a 3.9544
_cell_length_b 10.2887
_cell_length_c 8.3905
_cell_angle_alpha 90.00
_cell_angle_beta 103.59
_cell_angle_gamma 90.00
_space_group_name_H-M_alt 'P 1'
_space_group_IT_number 1
loop_
_space_group_symop_operation_xyz
'x,y,z'
loop_
_atom_site_label
_atom_site_fract_x
_atom_site_fract_y
_atom_site_fract_z
_atom_site_occupancy
Cs1 0.2474 0.2500 0.4932 1
Cs2 0.7526 0.7500 0.5068 1
Zr1 0.5000 0.0000 0.0000 1
Zr2 0.5000 0.5000 0.0000 1
Cu1 0.0270 0.7500 0.0588 1
Cu2 0.9730 0.2500 0.9412 1
Se1 0.1112 0.5527 0.2232 1
Se2 0.1112 0.9473 0.2232 1
Se3 0.4384 0.7500 0.8792 1
Se4 0.5616 0.2500 0.1208 1
Se5 0.8888 0.0527 0.7768 1
Se6 0.8888 0.4473 0.7768 1



# MgNi2Bi2 (PBE-GGA, optimized geometry)
# Formation enthalpy at 0 K: 0.169 eV/atom
# VASP energy: -4.015 eV per atom
# Excess energy over the best structure of this formula in the dataset: 133 meV/atom
data_MgNi2Bi2
_cell_length_a 5.3169
_cell_length_b 5.3169
_cell_length_c 5.3169
_cell_angle_alpha 120.37
_cell_angle_beta 120.37
_cell_angle_gamma 89.36
_space_group_name_H-M_alt 'P 1'
_space_group_IT_number 1
loop_
_space_group_symop_operation_xyz
'x,y,z'
loop_
_atom_site_label
_atom_site_fract_x
_atom_site_fract_y
_atom_site_fract_z
_atom_site_occupancy
Mg1 0.0000 0.0000 0.0000 1
Ni1 0.3448 0.3448 0.0000 1
Ni2 0.6552 0.6552 0.0000 1
Bi1 0.2500 0.7500 0.5000 1
Bi2 0.7500 0.2500 0.5000 1



# LiTe2Pt (PBE-GGA, optimized geometry)
# VASP energy: -4.011 eV per atom
# Formation energy without anion corrections: -0.45 eV per atom
data_LiTe2Pt
_cell_length_a 4.0333
_cell_length_b 4.0333
_cell_length_c 7.1671
_cell_angle_alpha 106.37
_cell_angle_beta 106.37
_cell_angle_gamma 60.08
_space_group_name_H-M_alt 'P 1'
_space_group_IT_number 1
loop_
_space_group_symop_operation_xyz
'x,y,z'
loop_
_atom_site_label
_atom_site_fract_x
_atom_site_fract_y
_atom_site_fract_z
_atom_site_occupancy
Li1 0.0000 0.0000 0.0000 1
Te1 0.2382 0.2382 0.7154 1
Te2 0.7618 0.7618 0.2846 1
Pt1 0.5000 0.5000 0.5000 1



# TmMg2GaPd2 (PBE-GGA, optimized geometry)
# Formation enthalpy at 0 K: -0.302 eV/atom
# VASP energy: -3.815 eV per atom
data_TmMg2GaPd2
_cell_length_a 6.3298
_cell_length_b 6.3298
_cell_length_c 6.3298
_cell_angle_alpha 132.10
_cell_angle_beta 132.10
_cell_angle_gamma 70.07
_space_group_name_H-M_alt 'P 1'
_space_group_IT_number 1
loop_
_space_group_symop_operation_xyz
'x,y,z'
loop_
_atom_site_label
_atom_site_fract_x
_atom_site_fract_y
_atom_site_fract_z
_atom_site_occupancy
Tm1 0.0000 0.0000 0.0000 1
Mg1 0.2500 0.7500 0.5000 1
Mg2 0.7500 0.2500 0.5000 1
Ga1 0.5000 0.5000 0.0000 1
Pd1 0.2666 0.2666 0.0000 1
Pd2 0.7334 0.7334 0.0000 1



# TePO (PBE-GGA, optimized geometry)
# VASP energy: -5.077 eV per atom
# Formation energy without anion corrections: -0.57 eV per atom
data_TePO
_cell_length_a 5.6230
_cell_length_b 12.9600
_cell_length_c 3.8694
_cell_angle_alpha 90.00
_cell_angle_beta 90.00
_cell_angle_gamma 90.00
_space_group_name_H-M_alt 'P 1'
_space_group_IT_number 1
loop_
_space_group_symop_operation_xyz
'x,y,z'
loop_
_atom_site_label
_atom_site_fract_x
_atom_site_fract_y
_atom_site_fract_z
_atom_site_occupancy
Te1 0.1616 0.0833 0.0000 1
Te2 0.3384 0.5833 0.5000 1
Te3 0.6616 0.4167 0.5000 1
Te4 0.8384 0.9167 0.0000 1
P1 0.1147 0.8228 0.5000 1
P2 0.3853 0.3228 0.0000 1
P3 0.6147 0.6772 0.0000 1
P4 0.8853 0.1772 0.5000 1
O1 0.1476 0.3765 0.0000 1
O2 0.3524 0.8765 0.5000 1
O3 0.6476 0.1235 0.5000 1
O4 0.8524 0.6235 0.0000 1



# ThScAgPd (PBE-GGA, optimized geometry)
# Formation enthalpy at 0 K: -0.394 eV/atom
# VASP energy: -5.843 eV per atom
data_ThScAgPd
_cell_length_a 5.0379
_cell_length_b 5.0379
_cell_length_c 5.0379
_cell_angle_alpha 60.00
_cell_angle_beta 60.00
_cell_angle_gamma 60.00
_space_group_name_H-M_alt 'P 1'
_space_group_IT_number 1
loop_
_space_group_symop_operation_xyz
'x,y,z'
loop_
_atom_site_label
_atom_site_fract_x
_atom_site_fract_y
_atom_site_fract_z
_atom_site_occupancy
Th1 0.0000 0.0000 0.0000 1
Sc1 0.5000 0.5000 0.5000 1
Ag1 0.7500 0.7500 0.7500 1
Pd1 0.2500 0.2500 0.2500 1



# ZnCuMo (PBE-GGA, optimized geometry)
# Formation enthalpy at 0 K: 0.077 eV/atom
# VASP energy: -5.324 eV per atom
# Excess energy over the best structure of this formula in the dataset: 0 meV/atom
data_ZnCuMo
_cell_length_a 6.3210
_cell_length_b 6.3210
_cell_length_c 6.3210
_cell_angle_alpha 155.98
_cell_angle_beta 155.98
_cell_angle_gamma 34.23
_space_group_name_H-M_alt 'P 1'
_space_group_IT_number 1
loop_
_space_group_symop_operation_xyz
'x,y,z'
loop_
_atom_site_label
_atom_site_fract_x
_atom_site_fract_y
_atom_site_fract_z
_atom_site_occupancy
Zn1 0.0000 0.0000 0.0000 1
Cu1 0.6558 0.6558 0.0000 1
Mo1 0.3235 0.3235 0.0000 1



# CoSbAs2 (PBE-GGA, optimized geometry)
# VASP energy: -4.556 eV per atom
# Formation energy without anion corrections: 0.58 eV per atom
data_CoSbAs2
_cell_length_a 4.7363
_cell_length_b 4.7363
_cell_length_c 3.3454
_cell_angle_alpha 90.00
_cell_angle_beta 90.00
_cell_angle_gamma 90.00
_space_group_name_H-M_alt 'P 1'
_space_group_IT_number 1
loop_
_space_group_symop_operation_xyz
'x,y,z'
loop_
_atom_site_label
_atom_site_fract_x
_atom_site_fract_y
_atom_site_fract_z
_atom_site_occupancy
Co1 0.0000 0.0000 0.0000 1
Sb1 0.5000 0.5000 0.0000 1
As1 0.0000 0.5000 0.5000 1
As2 0.5000 0.0000 0.5000 1



# ZrSeIN2 (PBE-GGA, optimized geometry)
# VASP energy: -5.454 eV per atom
# Excess energy over the best structure of this formula in the dataset: 114 meV/atom
# Formation energy without anion corrections: 0.59 eV per atom
data_ZrSeIN2
_cell_length_a 4.1618
_cell_length_b 4.1618
_cell_length_c 6.5668
_cell_angle_alpha 90.00
_cell_angle_beta 90.00
_cell_angle_gamma 90.00
_space_group_name_H-M_alt 'P 1'
_space_group_IT_number 1
loop_
_space_group_symop_operation_xyz
'x,y,z'
loop_
_atom_site_label
_atom_site_fract_x
_atom_site_fract_y
_atom_site_fract_z
_atom_site_occupancy
Zr1 0.0000 0.0000 0.0000 1
Se1 0.5000 0.5000 0.5000 1
I1 0.0000 0.0000 0.5000 1
N1 0.0000 0.5000 0.0000 1
N2 0.5000 0.0000 0.0000 1



# Th3OsPb2 (PBE-GGA, optimized geometry)
# Formation enthalpy at 0 K: -0.204 eV/atom
# VASP energy: -7.021 eV per atom
data_Th3OsPb2
_cell_length_a 8.2660
_cell_length_b 8.2660
_cell_length_c 8.0016
_cell_angle_alpha 103.99
_cell_angle_beta 103.99
_cell_angle_gamma 44.95
_space_group_name_H-M_alt 'P 1'
_space_group_IT_number 1
loop_
_space_group_symop_operation_xyz
'x,y,z'
loop_
_atom_site_label
_atom_site_fract_x
_atom_site_fract_y
_atom_site_fract_z
_atom_site_occupancy
Th1 0.0016 0.9984 0.7500 1
Th2 0.3686 0.3718 0.4353 1
Th3 0.3718 0.3686 0.9353 1
Th4 0.6282 0.6314 0.0647 1
Th5 0.6314 0.6282 0.5647 1
Th6 0.9984 0.0016 0.2500 1
Os1 0.4983 0.5017 0.2500 1
Os2 0.5017 0.4983 0.7500 1
Pb1 0.1835 0.1869 0.0929 1
Pb2 0.1869 0.1835 0.5929 1
Pb3 0.8131 0.8165 0.4071 1
Pb4 0.8165 0.8131 0.9071 1



Among the records above, which one has the lowest VASP energy? La2PuSc



Which of these has the highest VASP energy? TmMg2GaPd2



Look up the VASP energy of the third one. -5.128 eV per atom